A.
LiTaCr2: relaxed, PBE.

a b c (Å): 3.0976 4.2307 4.1801
angles (deg): 90.00 90.00 90.00
Sites, in units of the cell vectors:
Cr: 0.0000 0.0000 0.0000
Cr: 0.5000 0.5000 0.0000
Ta: 0.0000 0.5000 0.5000
Li: 0.5000 0.0000 0.5000

Properties
DOS(E_F)   3.0 states/eV/f.u.

B.
LiTaCr2: relaxed, PBE.

a b c (Å): 4.9133 4.9133 4.9133
angles (deg): 143.01 130.58 63.31
Sites, in units of the cell vectors:
Li: 0.7500 0.2500 0.5000
Ta: 0.2500 0.7500 0.5000
Cr: 0.0016 0.0016 0.0000
Cr: 0.4984 0.4984 0.0000

Properties
DOS(E_F)   4.5 states/eV/f.u.

C.
LiTaCr2: relaxed, PBE.

a b c (Å): 5.0752 5.0752 2.5554
angles (deg): 80.58 80.58 118.93
Sites, in units of the cell vectors:
Li: 0.5000 0.0000 0.5000
Cr: 0.0000 0.0000 0.0000
Cr: 0.5000 0.5000 0.0000
Ta: 0.0000 0.5000 0.5000

Properties
DOS(E_F)   4.6 states/eV/f.u.

D.
LiTaCr2: relaxed, PBE.

a b c (Å): 4.0228 2.6192 5.3216
angles (deg): 77.88 90.00 90.00
Sites, in units of the cell vectors:
Li: 0.0000 0.4471 0.4819
Ta: 0.5000 0.7501 0.7588
Cr: 0.5000 0.2488 0.2273
Cr: 0.0000 0.0541 0.0320

Properties
DOS(E_F)   3.0 states/eV/f.u.

It is D that is the most stable of them.

A.
LiTaCr2: relaxed, PBE.

a b c (Å): 3.1389 3.1389 5.3892
angles (deg): 90.00 90.00 90.00
Sites, in units of the cell vectors:
Cr: 0.0000 0.0000 0.0386
Cr: 0.0000 0.0000 0.4614
Ta: 0.5000 0.5000 0.7500
Li: 0.5000 0.5000 0.2500

Properties
DOS(E_F)   4.9 states/eV/f.u.

B.
LiTaCr2: relaxed, PBE.

a b c (Å): 6.6735 6.6735 5.3309
angles (deg): 51.25 51.25 90.00
Sites, in units of the cell vectors:
Cr: 0.1488 0.6250 0.2500
Cr: 0.8750 0.8512 0.7500
Cr: 0.3750 0.3988 0.7500
Cr: 0.6012 0.1250 0.2500
Ta: 0.0000 0.0000 0.0000
Ta: 0.7500 0.2500 0.5000
Li: 0.2500 0.7500 0.5000
Li: 0.5000 0.5000 0.0000

Properties
DOS(E_F)   4.7 states/eV/f.u.

It is A that is the most stable of them.

A.
LiTaCr2: relaxed, PBE.

a b c (Å): 2.9056 2.9056 6.9939
angles (deg): 90.00 90.00 90.00
Sites, in units of the cell vectors:
Cr: 0.5000 0.5000 0.2144
Cr: 0.0000 0.0000 0.0367
Ta: 0.5000 0.5000 0.7786
Li: 0.0000 0.0000 0.4703

Properties
DOS(E_F)   3.8 states/eV/f.u.

B.
LiTaCr2: relaxed, PBE.

a b c (Å): 9.6581 9.6581 9.6581
angles (deg): 15.91 15.91 15.91
Sites, in units of the cell vectors:
Ta: 0.7500 0.7500 0.7500
Li: 0.2500 0.2500 0.2500
Cr: 0.9993 0.9993 0.9993
Cr: 0.5007 0.5007 0.5007

Properties
DOS(E_F)   5.4 states/eV/f.u.

C.
LiTaCr2: relaxed, PBE.

a b c (Å): 4.3129 4.3129 4.3129
angles (deg): 60.00 60.00 60.00
Sites, in units of the cell vectors:
Ta: 0.5000 0.5000 0.5000
Cr: 0.7500 0.7500 0.7500
Cr: 0.2500 0.2500 0.2500
Li: 0.0000 0.0000 0.0000

Properties
DOS(E_F)   4.8 states/eV/f.u.

It is A that is the most stable of them.

A.
LiTaCr3: relaxed, PBE.

a b c (Å): 4.8087 4.8087 4.8087
angles (deg): 90.00 90.00 90.00
Sites, in units of the cell vectors:
Cr: 0.5000 0.0000 0.0000
Cr: 0.0000 0.0000 0.5000
Cr: 0.0000 0.5000 0.0000
Li: 0.5000 0.5000 0.5000
Ta: 0.0000 0.0000 0.0000

Properties
DOS(E_F)   4.0 states/eV/f.u.

B.
LiTaCr3: relaxed, PBE.

a b c (Å): 4.0442 4.0442 4.0442
angles (deg): 90.00 90.00 90.00
Sites, in units of the cell vectors:
Cr: 0.5000 0.0000 0.0000
Cr: 0.0000 0.5000 0.0000
Cr: 0.0000 0.0000 0.5000
Ta: 0.5000 0.5000 0.5000
Li: 0.0000 0.0000 0.0000

Properties
DOS(E_F)   6.7 states/eV/f.u.

It is B that is the most stable of them.

A.
LiTi2Cr: relaxed, PBE.

a b c (Å): 2.9949 2.9949 7.3413
angles (deg): 90.00 90.00 90.00
Sites, in units of the cell vectors:
Li: 0.5000 0.5000 0.5000
Cr: 0.5000 0.5000 0.0000
Ti: 0.0000 0.0000 0.1943
Ti: 0.0000 0.0000 0.8057

Properties
DOS(E_F)   4.4 states/eV/f.u.

B.
LiTi2Cr: relaxed, PBE.

a b c (Å): 4.3208 4.3208 4.3208
angles (deg): 60.00 60.00 60.00
Sites, in units of the cell vectors:
Li: 0.0000 0.0000 0.0000
Ti: 0.7500 0.7500 0.7500
Ti: 0.2500 0.2500 0.2500
Cr: 0.5000 0.5000 0.5000

Properties
DOS(E_F)   3.9 states/eV/f.u.

It is A that is the most stable of them.

A.
Li2TiCr: relaxed, PBE.

a b c (Å): 4.2462 4.2462 4.2462
angles (deg): 60.00 60.00 60.00
Sites, in units of the cell vectors:
Cr: 0.5000 0.5000 0.5000
Li: 0.2500 0.2500 0.2500
Li: 0.7500 0.7500 0.7500
Ti: 0.0000 0.0000 0.0000

Properties
DOS(E_F)   5.4 states/eV/f.u.

B.
Li2TiCr: relaxed, PBE.

a b c (Å): 7.1183 7.1183 5.5696
angles (deg): 50.28 50.28 90.00
Sites, in units of the cell vectors:
Li: 0.6399 0.1250 0.2500
Li: 0.8750 0.8899 0.7500
Li: 0.3750 0.3601 0.7500
Li: 0.1101 0.6250 0.2500
Ti: 0.2500 0.7500 0.5000
Ti: 0.5000 0.5000 0.0000
Cr: 0.7500 0.2500 0.5000
Cr: 0.0000 0.0000 0.0000

Properties
DOS(E_F)   2.8 states/eV/f.u.

It is B that is the most stable of them.

A.
LiTiCr3: relaxed, PBE.

a b c (Å): 4.3380 4.3380 4.3380
angles (deg): 90.00 90.00 90.00
Sites, in units of the cell vectors:
Cr: 0.0000 0.0000 0.5000
Cr: 0.5000 0.0000 0.0000
Cr: 0.0000 0.5000 0.0000
Li: 0.5000 0.5000 0.5000
Ti: 0.0000 0.0000 0.0000

Properties
DOS(E_F)   6.5 states/eV/f.u.

B.
LiTiCr3: relaxed, PBE.

a b c (Å): 4.0331 4.0331 4.0331
angles (deg): 90.00 90.00 90.00
Sites, in units of the cell vectors:
Cr: 0.0000 0.5000 0.0000
Cr: 0.5000 0.0000 0.0000
Cr: 0.0000 0.0000 0.5000
Li: 0.0000 0.0000 0.0000
Ti: 0.5000 0.5000 0.5000

Properties
DOS(E_F)   6.6 states/eV/f.u.

It is B that is the most stable of them.

A.
LiV3Cr: relaxed, PBE.

a b c (Å): 4.3602 4.3602 4.3602
angles (deg): 90.00 90.00 90.00
Sites, in units of the cell vectors:
V: 0.5000 0.0000 0.0000
V: 0.0000 0.5000 0.0000
V: 0.0000 0.0000 0.5000
Cr: 0.0000 0.0000 0.0000
Li: 0.5000 0.5000 0.5000

Properties
DOS(E_F)   9.2 states/eV/f.u.

B.
LiV3Cr: relaxed, PBE.

a b c (Å): 4.1148 4.1148 4.1148
angles (deg): 90.00 90.00 90.00
Sites, in units of the cell vectors:
Li: 0.0000 0.0000 0.0000
V: 0.5000 0.0000 0.0000
V: 0.0000 0.5000 0.0000
V: 0.0000 0.0000 0.5000
Cr: 0.5000 0.5000 0.5000

Properties
DOS(E_F)   8.2 states/eV/f.u.

It is A that is the most stable of them.

A.
LiVCr3: relaxed, PBE.

a b c (Å): 3.9686 3.9686 3.9686
angles (deg): 90.00 90.00 90.00
Sites, in units of the cell vectors:
V: 0.5000 0.5000 0.5000
Cr: 0.0000 0.5000 0.0000
Cr: 0.0000 0.0000 0.5000
Cr: 0.5000 0.0000 0.0000
Li: 0.0000 0.0000 0.0000

Properties
DOS(E_F)   6.0 states/eV/f.u.

B.
LiVCr3: relaxed, PBE.

a b c (Å): 4.2829 4.2829 4.2829
angles (deg): 90.00 90.00 90.00
Sites, in units of the cell vectors:
V: 0.0000 0.0000 0.0000
Cr: 0.5000 0.0000 0.0000
Cr: 0.0000 0.5000 0.0000
Cr: 0.0000 0.0000 0.5000
Li: 0.5000 0.5000 0.5000

Properties
DOS(E_F)   6.5 states/eV/f.u.

It is B that is the most stable of them.

A.
LiCr2W: relaxed, PBE.

a b c (Å): 2.4711 4.1678 5.1516
angles (deg): 90.00 90.00 90.00
Sites, in units of the cell vectors:
Li: 0.0000 0.0000 0.4933
Cr: 0.0000 0.0000 0.0079
Cr: 0.5000 0.5000 0.2455
W: 0.5000 0.5000 0.7532

Properties
DOS(E_F)   4.4 states/eV/f.u.

B.
LiCr2W: relaxed, PBE.

a b c (Å): 4.9680 4.9680 2.5181
angles (deg): 80.49 80.49 117.59
Sites, in units of the cell vectors:
W: 0.0000 0.5000 0.5000
Li: 0.5000 0.0000 0.5000
Cr: 0.0000 0.0000 0.0000
Cr: 0.5000 0.5000 0.0000

Properties
DOS(E_F)   4.1 states/eV/f.u.

It is B that is the most stable of them.

A.
LiCrW2: relaxed, PBE.

a b c (Å): 5.0238 5.0238 5.0238
angles (deg): 144.01 128.17 64.72
Sites, in units of the cell vectors:
W: 0.5167 0.5167 0.0000
W: 0.9833 0.9833 0.0000
Li: 0.2500 0.7500 0.5000
Cr: 0.7500 0.2500 0.5000

Properties
DOS(E_F)   3.8 states/eV/f.u.

B.
LiCrW2: relaxed, PBE.

a b c (Å): 3.1563 3.1563 5.6385
angles (deg): 90.00 90.00 90.00
Sites, in units of the cell vectors:
Cr: 0.0000 0.0000 0.5145
W: 0.5000 0.5000 0.2596
W: 0.0000 0.0000 0.9861
Li: 0.5000 0.5000 0.7399

Properties
DOS(E_F)   3.8 states/eV/f.u.

It is A that is the most stable of them.

A.
Li2CrW2: relaxed, PBE.

a b c (Å): 3.6785 3.6785 5.7406
angles (deg): 71.31 71.31 90.00
Sites, in units of the cell vectors:
Li: 0.5817 0.5817 0.8366
Li: 0.4183 0.4183 0.1634
Cr: 0.0000 0.0000 0.0000
W: 0.7500 0.2500 0.5000
W: 0.2500 0.7500 0.5000

Properties
DOS(E_F)   5.1 states/eV/f.u.

B.
Li2CrW2: relaxed, PBE.

a b c (Å): 6.1863 6.1863 3.2805
angles (deg): 90.00 90.00 90.00
Sites, in units of the cell vectors:
W: 0.3098 0.1902 0.5000
W: 0.8098 0.3098 0.5000
W: 0.1902 0.6902 0.5000
W: 0.6902 0.8098 0.5000
Cr: 0.5000 0.5000 0.0000
Cr: 0.0000 0.0000 0.0000
Li: 0.8875 0.6125 0.0000
Li: 0.3875 0.8875 0.0000
Li: 0.1125 0.3875 0.0000
Li: 0.6125 0.1125 0.0000

Properties
DOS(E_F)   4.1 states/eV/f.u.

It is B that is the most stable of them.

A.
LiYCr: relaxed, PBE.

a b c (Å): 4.8512 4.8512 4.8512
angles (deg): 60.00 60.00 60.00
Sites, in units of the cell vectors:
Cr: 0.0000 0.0000 0.0000
Y: 0.7500 0.7500 0.7500
Li: 0.5000 0.5000 0.5000

Properties
DOS(E_F)   2.9 states/eV/f.u.

B.
LiYCr: relaxed, PBE.

a b c (Å): 4.6193 4.6193 4.6193
angles (deg): 60.00 60.00 60.00
Sites, in units of the cell vectors:
Y: 0.0000 0.0000 0.0000
Cr: 0.5000 0.5000 0.5000
Li: 0.7500 0.7500 0.7500

Properties
DOS(E_F)   1.7 states/eV/f.u.

C.
LiYCr: relaxed, PBE.

a b c (Å): 3.3412 3.3412 7.3202
angles (deg): 90.00 90.00 120.00
Sites, in units of the cell vectors:
Cr: 0.0000 0.0000 0.0076
Y: 0.6667 0.3333 0.6858
Li: 0.3333 0.6667 0.3065

Properties
DOS(E_F)   3.1 states/eV/f.u.

It is C that is the most stable of them.